Entry 1:
Computed, not measured: a relaxed CsGd4As3 crystal at the PBE level of DFT.

Calculated values
Final energy (eV per atom): -5.015
Space group: P4/mmm, No. 123

Lattice parameters (Å, degrees): 4.901 4.901 11.200 90.00 90.00 90.00
Element x y z (fractional)
As 0.500 0.500 0.293
As 0.500 0.500 0.707
As 0.000 0.000 0.000
Gd 0.500 0.000 0.157
Gd 0.500 0.000 0.843
Gd 0.000 0.500 0.843
Gd 0.000 0.500 0.157
Cs 0.000 0.000 0.500

=====

Entry 2:
Computed, not measured: a relaxed TlFeGe crystal at the PBE level of DFT.

Calculated values
Final energy (eV per atom): -4.645
Space group: F-43m, No. 216
Offset from the most stable computed form (kJ/mol of formula units): 0

Lattice parameters (Å, degrees): 4.400 4.400 4.400 60.00 60.00 60.00
Element x y z (fractional)
Fe 0.000 0.000 0.000
Ge 0.250 0.250 0.250
Tl 0.750 0.750 0.750

=====

Entry 3:
Computed, not measured: a relaxed PmTaSi crystal at the PBE level of DFT.

Calculated values
Final energy (eV per atom): -7.200
Space group: F-43m, No. 216
Offset from the most stable computed form (kJ/mol of formula units): 0

Lattice parameters (Å, degrees): 4.596 4.596 4.596 60.00 60.00 60.00
Element x y z (fractional)
Pm 0.250 0.250 0.250
Si 0.000 0.000 0.000
Ta 0.750 0.750 0.750